# Ac2PaReN5

A relaxed Ac2PaReN5 crystal (PBE-GGA, Alexandria via LeMat-Bulk).

Lattice parameters (Å, degrees): 3.9614 3.9614 8.9101 90.00 90.00 90.00
Closest atoms and distances in Å follow each position.
Positions (direct):
1 N 0.0000 0.5000 0.5000  2 Re 1.98
2 N 0.5000 0.5000 0.0000  2 Ac 2.60, 4 Pa 2.80
3 N 0.0000 0.0000 0.7632  1 Pa 2.11, 1 Re 2.35
4 N 0.5000 0.0000 0.5000  2 Re 1.98
5 N 0.0000 0.0000 0.2368  1 Pa 2.11, 1 Re 2.35
6 Ac 0.5000 0.5000 0.7081  9 N 2.60-2.84
7 Ac 0.5000 0.5000 0.2919  9 N 2.60-2.84
8 Pa 0.0000 0.0000 0.0000  2 N 2.11
9 Re 0.0000 0.0000 0.5000  4 N 1.98

## Properties
Total magnetic moment = 0.0 Bohr magnetons per cell
SG = P4/mmm
D(E_F) = 1.12 states/eV/f.u.
Final energy = -81.458 eV for the cell shown
Crystal system = tetragonal